# 1
BiRuF3: optimized geometry, PBE.

Cell lengths 4.2696, 4.2696, 4.2696 Å; angles 90.00, 90.00, 90.00 degrees
Positions (direct):
F: 0.0000 0.0000 0.5000
F: 0.0000 0.5000 0.0000
F: 0.5000 0.0000 0.0000
Ru: 0.0000 0.0000 0.0000
Bi: 0.5000 0.5000 0.5000

Summary:
Relative energy among the computed polymorphs (eV per formula unit): 0.00
Raw formation energy (eV/atom): -0.734
N(E_F) (states/eV/f.u.): 3.60
Symmetry: Pm-3m, No. 221



# 2
BiRuF2: optimized geometry, PBE.

Cell lengths 4.4673, 4.4673, 4.4673 Å; angles 60.00, 60.00, 60.00 degrees
Last column: magnetic moment on the atom in μB.
Positions (direct):
F: 0.7500 0.7500 0.7500  0.09
F: 0.2500 0.2500 0.2500  0.09
Ru: 0.0000 0.0000 0.0000  2.44
Bi: 0.5000 0.5000 0.5000  -0.03

Summary:
Relative energy among the computed polymorphs (eV per formula unit): 1.17
Raw formation energy (eV/atom): -0.380
N(E_F) (states/eV/f.u.): 2.45
Symmetry: Fm-3m, No. 225



# 3
BiRuF2: optimized geometry, PBE.

Cell lengths 8.4778, 8.4778, 8.4778 Å; angles 20.99, 20.99, 20.99 degrees
Last column: magnetic moment on the atom in μB.
Positions (direct):
Bi: 0.5000 0.5000 0.5000  -0.04
Ru: 0.0000 0.0000 0.0000  1.50
F: 0.9195 0.9195 0.9195  0.04
F: 0.0805 0.0805 0.0805  0.04

Summary:
Relative energy among the computed polymorphs (eV per formula unit): 0.00
Raw formation energy (eV/atom): -0.672
N(E_F) (states/eV/f.u.): 2.30
Symmetry: R-3m, No. 166



# 4
BiRuF2: optimized geometry, PBE.

Cell lengths 7.0352, 7.0352, 5.6385 Å; angles 51.40, 51.40, 90.00 degrees
Positions (direct):
F: 0.5456 0.1250 0.2500
F: 0.8750 0.7956 0.7500
F: 0.3750 0.4544 0.7500
F: 0.2044 0.6250 0.2500
Bi: 0.7500 0.2500 0.5000
Bi: 0.0000 0.0000 0.0000
Ru: 0.2500 0.7500 0.5000
Ru: 0.5000 0.5000 0.0000

Summary:
Relative energy among the computed polymorphs (eV per formula unit): 0.58
Raw formation energy (eV/atom): -0.528
N(E_F) (states/eV/f.u.): 3.16
Symmetry: I-42d, No. 122



# 5
Bi2RuF: optimized geometry, PBE.

Cell lengths 5.8042, 5.8042, 7.5636 Å; angles 67.44, 67.44, 90.00 degrees
Positions (direct):
Bi: 0.3750 0.3804 0.7500
Bi: 0.6196 0.1250 0.2500
Bi: 0.8750 0.8696 0.7500
Bi: 0.1304 0.6250 0.2500
Ru: 0.0000 0.0000 0.0000
Ru: 0.7500 0.2500 0.5000
F: 0.5000 0.5000 0.0000
F: 0.2500 0.7500 0.5000

Summary:
Relative energy among the computed polymorphs (eV per formula unit): 0.60
Raw formation energy (eV/atom): -0.211
N(E_F) (states/eV/f.u.): 2.20
Symmetry: I-42d, No. 122



# 6
ScBiRuF2: optimized geometry, PBE.

Cell lengths 4.3718, 5.4479, 4.3718 Å; angles 90.00, 90.00, 90.00 degrees
Positions (direct):
Ru: 0.0000 0.5000 0.0000
F: 0.5000 0.0000 0.0000
F: 0.0000 0.0000 0.5000
Bi: 0.0000 0.0000 0.0000
Sc: 0.5000 0.5000 0.5000

Summary:
Raw formation energy (eV/atom): -0.741
N(E_F) (states/eV/f.u.): 0.96
Symmetry: P4/mmm, No. 123



# 7
Sn2BiRuF: optimized geometry, PBE.

Cell lengths 5.3518, 4.1236, 5.3518 Å; angles 90.00, 90.00, 90.00 degrees
Last column: magnetic moment on the atom in μB.
Positions (direct):
Sn: 0.5000 0.0000 0.0000  -0.02
Sn: 0.0000 0.0000 0.5000  -0.01
Bi: 0.5000 0.5000 0.5000  0.06
Ru: 0.0000 0.0000 0.0000  0.57
F: 0.0000 0.5000 0.0000  0.06

Summary:
Raw formation energy (eV/atom): -0.208
N(E_F) (states/eV/f.u.): 4.32
Symmetry: P4/mmm, No. 123



# 8
TiBiRu2F: optimized geometry, PBE.

Cell lengths 4.6118, 3.8832, 4.6118 Å; angles 90.00, 90.00, 90.00 degrees
Last column: magnetic moment on the atom in μB.
Positions (direct):
Bi: 0.5000 0.5000 0.5000  -0.01
Ru: 0.5000 0.0000 0.0000  0.54
Ru: 0.0000 0.0000 0.5000  0.43
F: 0.0000 0.0000 0.0000  0.03
Ti: 0.0000 0.5000 0.0000  -0.57

Summary:
Raw formation energy (eV/atom): 0.191
N(E_F) (states/eV/f.u.): 5.43
Symmetry: P4/mmm, No. 123



# 9
Tl2BiRuF: optimized geometry, PBE.

Cell lengths 5.0515, 4.7857, 5.0515 Å; angles 90.00, 90.00, 90.00 degrees
Last column: magnetic moment on the atom in μB.
Positions (direct):
Tl: 0.0000 0.0000 0.5000  -0.01
Tl: 0.5000 0.0000 0.0000  0.02
Ru: 0.5000 0.5000 0.5000  1.83
F: 0.0000 0.0000 0.0000  -0.01
Bi: 0.0000 0.5000 0.0000  -0.03

Summary:
Raw formation energy (eV/atom): 0.243
N(E_F) (states/eV/f.u.): 6.35
Symmetry: P4/mmm, No. 123



# 10
YBiRu2F: optimized geometry, PBE.

Cell lengths 4.9205, 5.9829, 4.9205 Å; angles 90.00, 90.00, 90.00 degrees
Last column: magnetic moment on the atom in μB.
Positions (direct):
F: 0.5000 0.5000 0.5000  0.00
Ru: 0.0000 0.0000 0.5000  1.28
Ru: 0.5000 0.0000 0.0000  1.50
Y: 0.0000 0.0000 0.0000  -0.12
Bi: 0.0000 0.5000 0.0000  -0.07

Summary:
Raw formation energy (eV/atom): 1.330
N(E_F) (states/eV/f.u.): 5.84
Symmetry: P4/mmm, No. 123



# 11
BiSF: optimized geometry, PBE.

Cell lengths 5.1190, 3.9716, 3.9716 Å; angles 120.00, 90.00, 90.00 degrees
Positions (direct):
F: 0.2202 0.3333 0.6667
Bi: 0.0363 0.0000 0.0000
S: 0.7436 0.6667 0.3333

Summary:
Relative energy among the computed polymorphs (eV per formula unit): 0.10
Raw formation energy (eV/atom): -1.237
N(E_F) (states/eV/f.u.): 0.00
Symmetry: P3m1, No. 156



# 12
BiSF3: optimized geometry, PBE.

Cell lengths 4.3802, 4.3802, 4.3802 Å; angles 90.00, 90.00, 90.00 degrees
Positions (direct):
Bi: 0.5000 0.5000 0.5000
F: 0.0000 0.0000 0.5000
F: 0.0000 0.5000 0.0000
F: 0.5000 0.0000 0.0000
S: 0.0000 0.0000 0.0000

Summary:
Relative energy among the computed polymorphs (eV per formula unit): 6.47
Raw formation energy (eV/atom): -0.447
N(E_F) (states/eV/f.u.): 4.97
Symmetry: Pm-3m, No. 221



# 13
BiS5F: optimized geometry, PBE.

Cell lengths 6.8869, 5.0837, 7.1420 Å; angles 114.56, 121.75, 82.89 degrees
Positions (direct):
S: 0.2107 0.9781 0.1598
S: 0.0682 0.5683 0.1365
S: 0.4364 0.1833 0.6572
S: 0.9491 0.1817 0.1598
S: 0.2208 0.4739 0.6572
Bi: 0.8343 0.3343 0.6686
F: 0.8111 0.8111 0.6223

Summary:
Raw formation energy (eV/atom): -0.250
N(E_F) (states/eV/f.u.): 0.04
Symmetry: C2, No. 5



# 14
BiS6F2: optimized geometry, PBE.

Cell lengths 3.8809, 9.0271, 6.5752 Å; angles 108.71, 99.60, 85.84 degrees
Positions (direct):
F: 0.4438 0.0544 0.8306
F: 0.5562 0.9456 0.1694
S: 0.0854 0.7213 0.5449
S: 0.2034 0.4192 0.7281
S: 0.9649 0.6530 0.7980
S: 0.9146 0.2787 0.4551
S: 0.0351 0.3470 0.2020
S: 0.7966 0.5808 0.2719
Bi: 0.0000 0.0000 0.0000

Summary:
Raw formation energy (eV/atom): -0.531
N(E_F) (states/eV/f.u.): 0.87
Symmetry: P-1, No. 2



# 15
Bi2SF: optimized geometry, PBE.

Cell lengths 7.4340, 7.4340, 6.2279 Å; angles 53.36, 53.36, 90.00 degrees
Positions (direct):
Bi: 0.1417 0.6250 0.2500
Bi: 0.3750 0.3917 0.7500
Bi: 0.8750 0.8583 0.7500
Bi: 0.6083 0.1250 0.2500
S: 0.0000 0.0000 0.0000
S: 0.7500 0.2500 0.5000
F: 0.5000 0.5000 0.0000
F: 0.2500 0.7500 0.5000

Summary:
Relative energy among the computed polymorphs (eV per formula unit): 0.00
Raw formation energy (eV/atom): -0.638
N(E_F) (states/eV/f.u.): 2.16
Symmetry: I-42d, No. 122



# 16
Bi2SF: optimized geometry, PBE.

Cell lengths 4.9453, 4.9453, 4.9453 Å; angles 60.00, 60.00, 60.00 degrees
Positions (direct):
F: 0.0000 0.0000 0.0000
Bi: 0.7500 0.7500 0.7500
Bi: 0.2500 0.2500 0.2500
S: 0.5000 0.5000 0.5000

Summary:
Relative energy among the computed polymorphs (eV per formula unit): 0.70
Raw formation energy (eV/atom): -0.463
N(E_F) (states/eV/f.u.): 1.65
Symmetry: Fm-3m, No. 225



# 17
BiSF: optimized geometry, PBE.

Cell lengths 5.6872, 5.6866, 4.6216 Å; angles 96.71, 96.78, 97.48 degrees
Positions (direct):
S: 0.3510 0.8289 0.9192
S: 0.7761 0.4040 0.9198
F: 0.2850 0.3376 0.3012
F: 0.8422 0.8955 0.5381
Bi: 0.3088 0.3614 0.8039
Bi: 0.8183 0.8714 0.0354

Summary:
Relative energy among the computed polymorphs (eV per formula unit): 0.23
Raw formation energy (eV/atom): -1.193
N(E_F) (states/eV/f.u.): 0.00
Symmetry: C2/m, No. 12



# 18
BiSF: optimized geometry, PBE.

Cell lengths 3.9538, 6.7554, 8.8932 Å; angles 90.00, 90.00, 90.00 degrees
Positions (direct):
F: 0.7500 0.8674 0.4582
F: 0.7500 0.3674 0.0418
F: 0.2500 0.1326 0.5418
F: 0.2500 0.6326 0.9582
S: 0.2500 0.5311 0.3295
S: 0.7500 0.4689 0.6705
S: 0.7500 0.9689 0.8295
S: 0.2500 0.0311 0.1705
Bi: 0.2500 0.2405 0.9167
Bi: 0.7500 0.2595 0.4167
Bi: 0.7500 0.7595 0.0833
Bi: 0.2500 0.7405 0.5833

Summary:
Relative energy among the computed polymorphs (eV per formula unit): 0.00
Raw formation energy (eV/atom): -1.269
N(E_F) (states/eV/f.u.): 0.00
Symmetry: Pnma, No. 62



# 19
Bi2S2F: optimized geometry, PBE.

Cell lengths 4.1127, 4.1127, 9.5620 Å; angles 77.57, 77.57, 60.04 degrees
Positions (direct):
F: 0.0000 0.5000 0.0000
Bi: 0.3877 0.8877 0.8371
Bi: 0.6123 0.1123 0.1629
S: 0.2313 0.7313 0.3054
S: 0.7687 0.2687 0.6946

Summary:
Raw formation energy (eV/atom): -0.724
N(E_F) (states/eV/f.u.): 1.32
Symmetry: R-3m, No. 166



# 20
Bi2SF3: optimized geometry, PBE.

Cell lengths 4.1491, 8.5019, 8.0363 Å; angles 122.72, 90.00, 104.12 degrees
Positions (direct):
Bi: 0.5041 0.0082 0.2061
Bi: 0.2122 0.4245 0.7293
Bi: 0.4959 0.9918 0.7939
Bi: 0.7878 0.5755 0.2707
F: 0.6714 0.3428 0.3512
F: 0.0727 0.1453 0.3684
F: 0.3286 0.6572 0.6488
F: 0.9273 0.8547 0.6316
F: 0.6282 0.2564 0.6451
F: 0.3718 0.7436 0.3549
S: 0.1530 0.3060 0.9939
S: 0.8470 0.6940 0.0061

Summary:
Raw formation energy (eV/atom): -1.612
Symmetry: C2/m, No. 12